[1]
VASP calculation (PBE) on Cd2AgIr after structural relaxation.

Results
Energy relative to the elements: 454 meV per atom
D(E_F): 2.570 states/eV/f.u.

a = 4.0838 Å, b = 4.0838 Å, c = 19.1431 Å
α = 90.00°, β = 90.00°, γ = 90.00°
Space group I-42d (No. 122)
Asymmetric unit:
Cd (0.2399, 0.2500, 0.1250)
Ag (0.0000, 0.0000, 0.5000)
Ir (0.0000, 0.0000, 0.0000)

---

[2]
VASP calculation (PBE) on TeAu3 after structural relaxation.

Results
D(E_F): 2.641 states/eV/f.u.
Formation energy from raw total energies: 0.105 eV per atom

a = 4.0039 Å, b = 4.0039 Å, c = 19.4747 Å
α = 90.00°, β = 90.00°, γ = 120.00°
Space group R-3m (No. 166, hexagonal axes)
Asymmetric unit:
Te (0.0000, 0.0000, 0.0000)
Au (0.0000, 0.0000, 0.2455)
Au (0.0000, 0.0000, 0.5000)

---

[3]
VASP calculation (PBE) on UCdHgPd after structural relaxation.

Results
Energy relative to the elements: 14 meV per atom
D(E_F): 11.062 states/eV/f.u.

a = 7.0452 Å, b = 7.0452 Å, c = 7.0452 Å
α = 90.00°, β = 90.00°, γ = 90.00°
Space group F-43m (No. 216)
Asymmetric unit:
U (0.0000, 0.0000, 0.0000)
Cd (0.0000, 0.0000, 0.5000)
Hg (0.2500, 0.2500, 0.7500)
Pd (0.2500, 0.2500, 0.2500)

---

[4]
VASP calculation (PBE) on SiTc2Te after structural relaxation.

Results
D(E_F): 3.110 states/eV/f.u.
Formation energy from raw total energies: 0.190 eV per atom

a = 3.1481 Å, b = 3.6641 Å, c = 5.8912 Å
α = 90.00°, β = 103.53°, γ = 90.00°
Space group P2/m (No. 10)
Asymmetric unit:
Si (0.0000, 0.0000, 0.0000)
Tc (0.3725, 0.5000, 0.2174)
Te (0.0000, 0.0000, 0.5000)

---

[5]
VASP calculation (PBE) on CaTc2Mo after structural relaxation.

Results
Energy relative to the elements: 324 meV per atom
D(E_F): 2.802 states/eV/f.u.

a = 3.1814 Å, b = 3.1814 Å, c = 7.1795 Å
α = 90.00°, β = 90.00°, γ = 90.00°
Space group P4/mmm (No. 123)
Asymmetric unit:
Ca (0.0000, 0.0000, 0.0000)
Tc (0.5000, 0.5000, 0.3030)
Mo (0.0000, 0.0000, 0.5000)

---

[6]
VASP calculation (PBE) on Ba2CePtS5 after structural relaxation.

Results
D(E_F): 0.735 states/eV/f.u.
Formation energy from raw total energies: -1.543 eV per atom

a = 4.3475 Å, b = 18.0900 Å, c = 13.2916 Å
α = 90.00°, β = 90.00°, γ = 90.00°
Space group Cmc2_1 (No. 36)
Asymmetric unit:
Ba (0.0000, 0.1160, 0.0000)
Ba (0.0000, 0.1161, 0.3449)
Ce (0.0000, 0.2030, 0.6895)
Pt (0.0000, 0.4124, 0.0451)
S (0.0000, 0.0619, 0.5972)
S (0.0000, 0.2837, 0.0657)
S (0.0000, 0.3008, 0.3257)
S (0.0000, 0.3521, 0.6797)
S (0.0000, 0.4937, 0.4209)

---

[7]
VASP calculation (PBE) on La4AgTe2Se after structural relaxation.

Results
D(E_F): 6.483 states/eV/f.u.
Formation energy from raw total energies: -1.320 eV per atom

a = 7.8092 Å, b = 4.4251 Å, c = 7.8354 Å
α = 90.00°, β = 109.10°, γ = 90.00°
Space group P2/m (No. 10)
Asymmetric unit:
La (0.2367, 0.0000, 0.2350)
La (0.2505, 0.5000, 0.7620)
Ag (0.5000, 0.0000, 0.0000)
Te (0.0000, 0.0000, 0.5000)
Te (0.5000, 0.5000, 0.5000)
Se (0.0000, 0.5000, 0.0000)

---

[8]
VASP calculation (PBE) on GaAgSe3 after structural relaxation.

Results
D(E_F): 4.536 states/eV/f.u.
Formation energy from raw total energies: 0.456 eV per atom

a = 5.1387 Å, b = 5.1387 Å, c = 5.1387 Å
α = 90.00°, β = 90.00°, γ = 90.00°
Space group Pm-3m (No. 221)
Asymmetric unit:
Ga (0.0000, 0.0000, 0.0000)
Ag (0.5000, 0.5000, 0.5000)
Se (0.0000, 0.5000, 0.5000)